This record from Alexandria via LeMat-Bulk describes a relaxed ZnCuW2 crystal. The functional is PBE-GGA.

Lattice parameters (Å, degrees): 2.6593 2.6593 8.3933 90.00 90.00 97.98
Fractional coordinates of all 4 atoms:
1 Cu 0.5000 0.5000 0.7500
2 W 0.0000 0.0000 0.9946
3 W 0.0000 0.0000 0.5054
4 Zn 0.5000 0.5000 0.2500

## Properties
D(E_F) ... 2.3 states/eV per cell
M_tot ... 0.0 μB per formula unit
E_form ... 320.0 meV/atom